# PBE NpAlZn, optimized geometry
# density of states at the Fermi level	16.36	states/eV/cell
# space group	Pnma (62)
# E_form	-0.079	eV/atom
data_NpAlZn
_chemical_formula_sum 'Np4 Al4 Zn4'
_space_group_name_H-M_alt 'P 1'
_space_group_IT_number 1
_cell_length_a 7.7173
_cell_length_b 3.4251
_cell_length_c 8.3042
_cell_angle_alpha 90.00
_cell_angle_beta 90.00
_cell_angle_gamma 90.00
loop_
_space_group_symop_operation_xyz
'x,y,z'
loop_
_atom_site_label
_atom_site_fract_x
_atom_site_fract_y
_atom_site_fract_z
Np1 0.0049 0.2500 0.1008
Np2 0.4951 0.7500 0.6008
Np3 0.5049 0.2500 0.3992
Np4 0.9951 0.7500 0.8992
Al1 0.1546 0.2500 0.6013
Al2 0.3454 0.7500 0.1013
Al3 0.6546 0.2500 0.8987
Al4 0.8454 0.7500 0.3987
Zn1 0.1777 0.7500 0.3669
Zn2 0.3223 0.2500 0.8669
Zn3 0.6777 0.7500 0.1331
Zn4 0.8223 0.2500 0.6331